Record 1
# PBE Li5Hg6Au, relaxed
data_Li5Hg6Au
_chemical_formula_sum 'Li10 Hg12 Au2'
_cell_length_a 4.692
_cell_length_b 13.973
_cell_length_c 6.894
_cell_angle_alpha 90.00
_cell_angle_beta 90.00
_cell_angle_gamma 90.00
_symmetry_space_group_name_H-M 'C m m m'
_symmetry_Int_Tables_number 65
_symmetry_space_group_name_Hall '-C 2 2'
loop_
_atom_site_label
_atom_site_type_symbol
_atom_site_fract_x
_atom_site_fract_y
_atom_site_fract_z
Li1 Li 0.000 0.000 0.000
Li2 Li 0.000 0.330 0.000
Li3 Li 0.000 0.345 0.500
Hg1 Hg 0.000 0.173 0.247
Hg2 Hg 0.000 0.500 0.231
Au1 Au 0.000 0.000 0.500
# Energy in eV per formula unit: -18.6
# Energy of formation in eV/atom: -0.3319
# Mass density in g cm⁻³: 10.547

***

Record 2
# PBE LiAc6Sn3, relaxed
data_LiAc6Sn3
_chemical_formula_sum 'Li4 Ac24 Sn12'
_cell_length_a 12.753
_cell_length_b 12.468
_cell_length_c 9.432
_cell_angle_alpha 90.00
_cell_angle_beta 90.00
_cell_angle_gamma 90.00
_symmetry_space_group_name_H-M 'C m c m'
_symmetry_Int_Tables_number 63
_symmetry_space_group_name_Hall '-C 2c 2'
loop_
_atom_site_label
_atom_site_type_symbol
_atom_site_fract_x
_atom_site_fract_y
_atom_site_fract_z
Li1 Li 0.000 0.107 0.250
Ac1 Ac 0.000 0.337 0.502
Ac2 Ac 0.170 0.000 0.000
Ac3 Ac 0.247 0.243 0.750
Sn1 Sn 0.000 0.128 0.750
Sn2 Sn 0.132 0.496 0.750
# Energy in eV per formula unit: -43.1
# Energy of formation in eV/atom: -0.4572
# Mass density in g cm⁻³: 7.641

***

Record 3
# PBE CdSn2Sb, relaxed
data_CdSn2Sb
_chemical_formula_sum 'Cd4 Sn8 Sb4'
_cell_length_a 6.772
_cell_length_b 6.772
_cell_length_c 12.771
_cell_angle_alpha 90.00
_cell_angle_beta 90.00
_cell_angle_gamma 90.00
_symmetry_space_group_name_H-M 'I -4 2 d'
_symmetry_Int_Tables_number 122
_symmetry_space_group_name_Hall 'I -4 2bw'
loop_
_atom_site_label
_atom_site_type_symbol
_atom_site_fract_x
_atom_site_fract_y
_atom_site_fract_z
Cd1 Cd 0.000 0.000 0.000
Sn1 Sn 0.243 0.250 0.125
Sb1 Sb 0.000 0.000 0.500
# Energy in eV per formula unit: -12.6
# ΔE_f (raw) in eV/atom: 0.111
# Excess energy over the best structure of this formula in the dataset in meV/atom: 29.5
# Mass density in g cm⁻³: 5.348

***

Which value of energy does entry 1 give?
-18.6 eV per formula unit

***

Which value of mass density does entry 2 give?
7.641 g cm⁻³